[1]
5
Lattice="4.107 0.000 0.000 0.000 4.107 0.000 0.000 0.000 8.738" Properties=species:S:1:pos:R:3 comment="LiPSCl2 PBE optimized geometry" relative_energy_ev_per_atom=0.654 magnetic_moment_mub_per_fu=1.0 raw_formation_energy_ev_per_atom=0.25 rho_g_cm3=1.6 pbc="T T T"
Li 0.000 0.000 0.000
P 0.000 0.000 4.369
S 2.053 2.053 4.369
Cl 0.000 2.053 0.000
Cl 2.053 0.000 0.000

[2]
4
Lattice="0.000 4.095 4.095 4.095 0.000 4.095 4.095 4.095 0.000" Properties=species:S:1:pos:R:3 comment="RbYMg2 PBE optimized geometry" relative_energy_ev_per_atom=0.000 magnetic_moment_mub_per_fu=0.0 formation_enthalpy_0k_mev_per_atom=372 rho_g_cm3=2.7 pbc="T T T"
Rb 0.000 0.000 0.000
Y 4.095 4.095 4.095
Mg 2.048 2.048 2.048
Mg 6.143 6.143 6.143

[3]
16
Lattice="-4.338 4.338 7.095 4.338 -4.338 7.095 4.338 4.338 -7.095" Properties=species:S:1:pos:R:3 comment="Ac5CdCu2 PBE optimized geometry" magnetic_moment_mub_per_fu=0.0 formation_enthalpy_0k_mev_per_atom=-105 rho_g_cm3=8.5 pbc="T T T"
Ac 0.000 0.000 0.000
Ac 5.685 1.347 -2.009
Ac 1.347 2.991 -2.009
Ac 5.685 1.347 2.009
Ac 1.347 2.991 2.009
Ac 0.000 0.000 7.095
Ac 2.991 1.347 5.086
Ac -1.347 2.991 5.086
Ac 2.991 1.347 9.104
Ac -1.347 2.991 9.104
Cd 0.000 0.000 3.547
Cd 0.000 0.000 10.642
Cu 3.232 1.106 0.000
Cu 3.232 -1.106 7.095
Cu 1.106 5.444 0.000
Cu 1.106 3.232 7.095

[4]
4
Lattice="4.519 0.000 0.000 0.000 1.873 5.261 0.000 -1.873 5.261" Properties=species:S:1:pos:R:3 comment="CeErCuPt PBE optimized geometry" relative_energy_ev_per_atom=0.000 magnetic_moment_mub_per_fu=0.6 formation_enthalpy_0k_mev_per_atom=-696 rho_g_cm3=10.6 pbc="T T T"
Ce 0.000 0.000 0.000
Er 2.259 0.000 2.920
Cu 2.259 0.000 5.881
Pt 0.000 0.000 7.578

[5]
20
Lattice="0.000 5.620 11.818 3.963 0.000 11.818 3.963 5.620 0.000" Properties=species:S:1:pos:R:3 comment="Sm3S2 PBE optimized geometry" relative_energy_ev_per_atom=0.000 magnetic_moment_mub_per_fu=0.0 raw_formation_energy_ev_per_atom=-1.60 rho_g_cm3=6.5 pbc="T T T"
Sm 2.969 1.431 6.906
Sm 4.963 4.215 8.863
Sm 2.976 1.431 10.821
Sm 4.957 4.240 12.815
Sm 6.944 7.025 14.772
Sm 4.950 4.240 16.730
Sm 2.976 6.999 6.906
Sm 0.981 4.215 8.863
Sm 2.969 6.999 10.821
Sm 4.950 9.809 12.815
Sm 2.962 7.025 14.772
Sm 4.957 9.809 16.730
S 2.972 4.215 2.968
S 2.972 4.215 6.927
S 4.953 7.025 8.877
S 2.972 4.215 10.800
S 4.953 7.025 12.836
S 2.972 4.215 14.759
S 4.953 7.025 16.708
S 4.953 7.025 20.668

[6]
12
Lattice="7.899 0.000 0.000 0.000 3.820 0.000 -1.631 0.000 8.123" Properties=species:S:1:pos:R:3 comment="Sm3CSF PBE optimized geometry" magnetic_moment_mub_per_fu=0.0 raw_formation_energy_ev_per_atom=-1.62 rho_g_cm3=7.0 pbc="T T T"
Sm -0.039 0.955 2.795
Sm 0.390 0.955 7.842
Sm 1.904 2.865 5.178
Sm 4.364 0.955 2.945
Sm 5.878 2.865 0.281
Sm 6.307 2.865 5.328
C 0.220 0.955 5.386
C 6.048 2.865 2.737
S 2.173 2.865 2.322
S 4.094 0.955 5.801
F 1.745 2.865 7.541
F 4.523 0.955 0.583

[7]
5
Lattice="5.789 0.000 0.000 0.000 5.789 0.000 0.000 0.000 4.511" Properties=species:S:1:pos:R:3 comment="Tl2AsPdS PBE optimized geometry" magnetic_moment_mub_per_fu=0.0 raw_formation_energy_ev_per_atom=0.55 rho_g_cm3=6.8 pbc="T T T"
Tl 0.000 2.895 0.000
Tl 2.895 0.000 0.000
As 0.000 0.000 2.256
Pd 2.895 2.895 2.256
S 0.000 0.000 0.000